[1]
The following is a DFT calculation (PBE-GGA) of an optimized crystal structure of Bi2RuS.

a b c (Å): 6.3516 6.3516 12.2120
angles (deg): 90.00 90.00 90.00
With the nearest neighbours (Å) after each atom.
Positions (direct):
1 Bi 0.2189 0.2500 0.1250  2 Ru 2.60, 2 S 2.84
2 Bi 0.2500 0.7189 0.3750  2 Ru 2.60, 2 S 2.84
3 Bi 0.2500 0.7811 0.8750  2 Ru 2.60, 2 S 2.84
4 Bi 0.2811 0.2500 0.6250  2 Ru 2.60, 2 S 2.84
5 Bi 0.7189 0.7500 0.6250  2 Ru 2.60, 2 S 2.84
6 Bi 0.7500 0.2189 0.8750  2 Ru 2.60, 2 S 2.84
7 Bi 0.7500 0.2811 0.3750  2 Ru 2.60, 2 S 2.84
8 Bi 0.7811 0.7500 0.1250  2 Ru 2.60, 2 S 2.84
9 Ru 0.0000 0.0000 0.0000  4 Bi 2.60
10 Ru 0.0000 0.5000 0.2500  4 Bi 2.60
11 Ru 0.5000 0.0000 0.7500  4 Bi 2.60
12 Ru 0.5000 0.5000 0.5000  4 Bi 2.60
13 S 0.0000 0.0000 0.5000  4 Bi 2.84
14 S 0.0000 0.5000 0.7500  4 Bi 2.84
15 S 0.5000 0.0000 0.2500  4 Bi 2.84
16 S 0.5000 0.5000 0.0000  4 Bi 2.84

DFT total energy in eV per atom: -4.89
Formation energy from raw total energies in meV/atom: 403
Magnetization in μB per atom: 0.0000



[2]
The following is a DFT calculation (PBE-GGA) of an optimized crystal structure of K4Tl2SnAs2.

a b c (Å): 7.0546 7.0546 8.0756
angles (deg): 107.94 107.94 63.50
With the nearest neighbours (Å) after each atom.
Positions (direct):
1 K 0.0823 0.5888 0.7997  3 As 3.38-3.59, 2 Tl 3.59-3.61, 2 K 3.66-3.76
2 K 0.4112 0.9177 0.2003  3 As 3.38-3.59, 2 Tl 3.59-3.61, 2 K 3.66-3.76
3 K 0.5888 0.0823 0.7997  3 As 3.38-3.59, 2 Tl 3.59-3.61, 2 K 3.66-3.76
4 K 0.9177 0.4112 0.2003  3 As 3.38-3.59, 2 Tl 3.59-3.61, 2 K 3.66-3.76
5 Tl 0.0639 0.0639 0.7018  1 Tl 3.06
6 Tl 0.9361 0.9361 0.2982  1 Tl 3.06
7 Sn 0.5000 0.5000 0.5000  2 As 2.49
8 As 0.4024 0.4024 0.1703  1 Sn 2.49
9 As 0.5976 0.5976 0.8297  1 Sn 2.49

Formation energy from the elements in eV per atom: -0.1067
DFT total energy in eV per atom: -2.60
Magnetization in μB per atom: 0.0000



[3]
The following is a DFT calculation (PBE-GGA) of an optimized crystal structure of Ca2Sc2Br.

a b c (Å): 3.9772 3.9772 20.2219
angles (deg): 90.00 90.00 90.00
With the nearest neighbours (Å) after each atom.
Positions (direct):
1 Ca 0.0000 0.0000 0.1065  4 Sc 3.52, 4 Br 3.54
2 Ca 0.0000 0.0000 0.8935  4 Sc 3.52, 4 Br 3.54
3 Ca 0.5000 0.5000 0.3935  4 Sc 3.52, 4 Br 3.54
4 Ca 0.5000 0.5000 0.6065  4 Sc 3.52, 4 Br 3.54
5 Sc 0.0000 0.5000 0.2500  4 Sc 2.81
6 Sc 0.0000 0.5000 0.7500  4 Sc 2.81
7 Sc 0.5000 0.0000 0.2500  4 Sc 2.81
8 Sc 0.5000 0.0000 0.7500  4 Sc 2.81
9 Br 0.0000 0.0000 0.5000  8 Ca 3.54
10 Br 0.5000 0.5000 0.0000  8 Ca 3.54

DFT total energy in eV per atom: -3.87
Energy relative to the lowest polymorph listed for this composition in meV/atom: 0
Formation energy from raw total energies in meV/atom: -198
Magnetization in μB per atom: 0.0000



[4]
The following is a DFT calculation (PBE-GGA) of an optimized crystal structure of BSbRu2Pb.

a b c (Å): 4.8895 4.8895 5.8670
angles (deg): 90.00 90.00 90.00
With the nearest neighbours (Å) after each atom.
Positions (direct):
1 B 0.0000 0.0000 0.0000  4 Pb 3.46, 8 Ru 3.82
2 Sb 0.5000 0.5000 0.5000  4 Ru 2.44
3 Ru 0.0000 0.5000 0.5000  2 Sb 2.44
4 Ru 0.5000 0.0000 0.5000  2 Sb 2.44
5 Pb 0.5000 0.5000 0.0000  2 Sb 2.93

DFT total energy in eV per atom: -4.41
Formation energy from raw total energies in meV/atom: 2201
Magnetization in μB per atom: 0.5049



[5]
The following is a DFT calculation (PBE-GGA) of an optimized crystal structure of RuAu3Br.

a b c (Å): 5.0052 5.0052 5.0052
angles (deg): 90.00 90.00 90.00
With the nearest neighbours (Å) after each atom.
Positions (direct):
1 Ru 0.0000 0.0000 0.0000  12 Au 3.54
2 Au 0.0000 0.5000 0.5000  2 Br 2.50
3 Au 0.5000 0.0000 0.5000  2 Br 2.50
4 Au 0.5000 0.5000 0.0000  2 Br 2.50
5 Br 0.5000 0.5000 0.5000  6 Au 2.50

DFT total energy in eV per atom: -2.50
Energy relative to the lowest polymorph listed for this composition in meV/atom: 551
Formation energy from raw total energies in meV/atom: 1658
Magnetization in μB per atom: 0.3774



[6]
The following is a DFT calculation (PBE-GGA) of an optimized crystal structure of SrPdW.

a b c (Å): 10.2376 4.5984 7.8213
angles (deg): 90.00 130.48 90.00
With the nearest neighbours (Å) after each atom.
Positions (direct):
1 Sr 0.2374 0.0000 0.1672  3 Pd 3.04-3.18, 3 W 3.27-3.39
2 Sr 0.2626 0.5000 0.8328  3 Pd 3.04-3.18, 3 W 3.27-3.39
3 Sr 0.7374 0.5000 0.1672  3 Pd 3.04-3.18, 3 W 3.27-3.39
4 Sr 0.7626 0.0000 0.8328  3 Pd 3.04-3.18, 3 W 3.27-3.39
5 Pd 0.0751 0.5000 0.2588  3 W 2.65-2.68
6 Pd 0.4249 0.0000 0.7412  3 W 2.65-2.68
7 Pd 0.5751 0.0000 0.2588  3 W 2.65-2.68
8 Pd 0.9249 0.5000 0.7412  3 W 2.65-2.68
9 W 0.0845 0.0000 0.4425  1 W 2.41, 3 Pd 2.65-2.68
10 W 0.4155 0.5000 0.5575  1 W 2.41, 3 Pd 2.65-2.68
11 W 0.5845 0.5000 0.4425  1 W 2.41, 3 Pd 2.65-2.68
12 W 0.9155 0.0000 0.5575  1 W 2.41, 3 Pd 2.65-2.68

Formation energy from the elements in eV per atom: 0.3202
DFT total energy in eV per atom: -6.29
Energy relative to the lowest polymorph listed for this composition in meV/atom: 167
Magnetization in μB per atom: 0.0000



[7]
The following is a DFT calculation (PBE-GGA) of an optimized crystal structure of Dy3Er2Tl6.

a b c (Å): 15.1283 15.1283 15.1283
angles (deg): 162.07 162.07 25.46
With the nearest neighbours (Å) after each atom.
Positions (direct):
1 Dy 0.0000 0.0000 0.0000  8 Er 3.68
2 Dy 0.2002 0.2002 0.0000  9 Tl 3.06-3.36
3 Dy 0.7998 0.7998 0.0000  9 Tl 3.06-3.36
4 Er 0.4469 0.4469 0.0000  4 Tl 3.06, 1 Er 3.13
5 Er 0.5531 0.5531 0.0000  4 Tl 3.06, 1 Er 3.13
6 Tl 0.1190 0.6190 0.5000  2 Er 3.06, 6 Tl 3.28-3.33, 2 Dy 3.36
7 Tl 0.3038 0.3038 0.0000  5 Dy 3.06-3.34, 4 Tl 3.28
8 Tl 0.3810 0.8810 0.5000  2 Er 3.06, 6 Tl 3.28-3.33, 2 Dy 3.36
9 Tl 0.6190 0.1190 0.5000  2 Er 3.06, 6 Tl 3.28-3.33, 2 Dy 3.36
10 Tl 0.6962 0.6962 0.0000  5 Dy 3.06-3.34, 4 Tl 3.28
11 Tl 0.8810 0.3810 0.5000  2 Er 3.06, 6 Tl 3.28-3.33, 2 Dy 3.36

Formation energy from the elements in eV per atom: -0.0255
DFT total energy in eV per atom: -3.40
Magnetization in μB per atom: 0.0000



[8]
The following is a DFT calculation (PBE-GGA) of an optimized crystal structure of La5Ga5Ir2.

a b c (Å): 8.1070 8.1070 11.6024
angles (deg): 129.79 129.79 32.35
With the nearest neighbours (Å) after each atom.
Positions (direct):
1 La 0.0000 0.0000 0.0000  6 Ga 3.17-3.35, 4 Ir 3.24
2 La 0.1185 0.1185 0.4231  3 Ir 2.90-3.22, 5 Ga 3.19-3.24
3 La 0.1965 0.1965 0.8259  1 Ir 3.07, 5 Ga 3.11-3.28
4 La 0.8035 0.8035 0.1741  1 Ir 3.07, 5 Ga 3.11-3.28
5 La 0.8815 0.8815 0.5769  3 Ir 2.90-3.22, 5 Ga 3.19-3.24
6 Ga 0.2605 0.2605 0.3148  2 Ir 2.60, 1 Ga 2.80
7 Ga 0.4508 0.4508 0.1637  1 Ir 2.60
8 Ga 0.5000 0.5000 0.5000  2 Ga 2.80
9 Ga 0.5492 0.5492 0.8363  1 Ir 2.60
10 Ga 0.7395 0.7395 0.6852  2 Ir 2.60, 1 Ga 2.80
11 Ir 0.3418 0.3418 0.7351  3 Ga 2.60, 1 La 2.90
12 Ir 0.6582 0.6582 0.2649  3 Ga 2.60, 1 La 2.90

Formation energy from the elements in eV per atom: -0.6377
DFT total energy in eV per atom: -5.43
Magnetization in μB per atom: 0.0000



| no. | DOS at the Fermi energy (states/eV per atom) |
| --- | --- |
| 1 | 0.295 |
| 2 | 0.265 |
| 3 | 1.351 |
| 4 | 1.527 |
| 5 | 1.206 |
| 6 | 0.832 |
| 7 | 0.712 |
| 8 | 0.983 |